Entry 1:
SmPdAu2 after structural relaxation. Source: Alexandria via LeMat-Bulk, functional GGA-PBE.

extended XYZ file:
```
4
Lattice="-3.138 1.470 1.589 1.104 -1.321 3.402 2.760 4.832 0.981" Properties=species:S:1:pos:R:3 pbc="T T T"
Au 2.041 3.572 0.726
Au 0.720 1.260 0.256
Pd 0.363 2.490 2.986
Sm -1.017 0.074 2.495
```

total moment: 0.00 μB per cell
density: 13.16 g cm⁻³
energy relative to the elements: -0.629 eV per atom
final energy: -4.7461 eV per atom


Entry 2:
WCI2N after structural relaxation. Source: Alexandria via LeMat-Bulk, functional GGA-PBE.

extended XYZ file:
```
5
Lattice="-2.006 4.707 3.909 -4.120 -4.080 2.799 1.878 -0.677 1.779" Properties=species:S:1:pos:R:3 pbc="T T T"
W -2.124 -0.025 4.243
I -1.003 2.353 1.954
I -2.060 -2.040 1.399
C 0.000 0.000 0.000
N 0.939 -0.338 0.889
```

total moment: 2.65 μB per cell
density: 6.95 g cm⁻³
formation energy without anion corrections: 1.84 eV per atom
final energy: -4.8773 eV per atom


Entry 3:
ReHg2I after structural relaxation. Source: Alexandria via LeMat-Bulk, functional GGA-PBE.

extended XYZ file:
```
4
Lattice="0.000 3.701 3.701 3.701 0.000 3.701 3.701 3.701 0.000" Properties=species:S:1:pos:R:3 pbc="T T T"
Hg 5.552 5.552 5.552
Hg 1.851 1.851 1.851
Re 3.701 3.701 3.701
I 0.000 0.000 0.000
```

total moment: 3.54 μB per cell
density: 11.70 g cm⁻³
formation energy without anion corrections: 1.48 eV per atom
final energy: -2.1738 eV per atom


Number 1: offset from the most stable computed form 1.788 kcal/mol of atoms. Number 2: offset from the most stable computed form 4.518 kcal/mol of atoms. Number 3: offset from the most stable computed form 6.579 kcal/mol of atoms.